Entry 1:
DFT (PBE) results for a relaxed Ba3Ga2Ag crystal.

Cell and atoms, written as CIF:
```
data_Ba3Ga2Ag
_chemical_formula_sum 'Ba12 Ga8 Ag4'
_cell_length_a 8.050
_cell_length_b 10.280
_cell_length_c 10.498
_cell_angle_alpha 90.00
_cell_angle_beta 101.78
_cell_angle_gamma 90.00
_symmetry_space_group_name_H-M 'P 1 21/c 1'
_symmetry_Int_Tables_number 14
loop_
_symmetry_equiv_pos_as_xyz
'x,y,z'
'-x,-y,-z'
'-x,y+1/2,-z+1/2'
'x,-y+1/2,z+1/2'
loop_
_atom_site_label
_atom_site_type_symbol
_atom_site_fract_x
_atom_site_fract_y
_atom_site_fract_z
_atom_site_occupancy
Ba1 Ba 0.148 0.126 0.445 1
Ba2 Ba 0.230 0.049 0.104 1
Ba3 Ba 0.314 0.730 0.362 1
Ga1 Ga 0.084 0.101 0.762 1
Ga2 Ga 0.402 0.144 0.819 1
Ag1 Ag 0.466 0.540 0.128 1
```

Summary:
Electronic total energy, eV per atom: -2.716
Magnetization, μB/cell: 0.0

---

Entry 2:
DFT (PBE) results for a relaxed Ba8Ga2Ag crystal.

Cell and atoms, written as CIF:
```
data_Ba8Ga2Ag
_chemical_formula_sum 'Ba16 Ga4 Ag2'
_cell_length_a 10.184
_cell_length_b 15.044
_cell_length_c 7.430
_cell_angle_alpha 90.00
_cell_angle_beta 109.19
_cell_angle_gamma 90.00
_symmetry_space_group_name_H-M 'C 1 m 1'
_symmetry_Int_Tables_number 8
loop_
_symmetry_equiv_pos_as_xyz
'x,y,z'
'x,-y,z'
'x+1/2,y+1/2,z'
'x+1/2,-y+1/2,z'
loop_
_atom_site_label
_atom_site_type_symbol
_atom_site_fract_x
_atom_site_fract_y
_atom_site_fract_z
_atom_site_occupancy
Ba1 Ba 0.000 0.000 0.000 1
Ba2 Ba 0.056 0.369 0.790 1
Ba3 Ba 0.141 0.140 0.573 1
Ba4 Ba 0.220 0.500 0.401 1
Ba5 Ba 0.343 0.207 0.169 1
Ga1 Ga 0.363 0.316 0.725 1
Ag1 Ag 0.357 0.000 0.392 1
```

Summary:
E above lowest polymorph, eV/atom: 0.050
Electronic total energy, eV per atom: -2.326
Magnetization, μB/cell: 0.0

---

Entry 3:
DFT (PBE) results for a relaxed BaGa3Ag10 crystal.

Cell and atoms, written as CIF:
```
data_BaGa3Ag10
_chemical_formula_sum 'Ba8 Ga24 Ag80'
_cell_length_a 13.351
_cell_length_b 13.351
_cell_length_c 13.351
_cell_angle_alpha 90.00
_cell_angle_beta 90.00
_cell_angle_gamma 90.00
_symmetry_space_group_name_H-M 'F m -3 m'
_symmetry_Int_Tables_number 225
_symmetry_space_group_name_Hall '-F 4 2 3'
loop_
_atom_site_label
_atom_site_type_symbol
_atom_site_fract_x
_atom_site_fract_y
_atom_site_fract_z
_atom_site_occupancy
Ba1 Ba 0.250 0.250 0.250 1
Ga1 Ga 0.000 0.000 0.241 1
Ag1 Ag 0.000 0.173 0.327 1
Ag2 Ag 0.110 0.110 0.110 1
```

Summary:
Electronic total energy, eV per atom: -2.798
Magnetization, μB/cell: 0.0

---

Entry 4:
DFT (PBE) results for a relaxed Ba2Ga2Ag7 crystal.

Cell and atoms, written as CIF:
```
data_Ba2Ga2Ag7
_chemical_formula_sum 'Ba4 Ga4 Ag14'
_cell_length_a 11.929
_cell_length_b 7.888
_cell_length_c 6.498
_cell_angle_alpha 90.00
_cell_angle_beta 119.84
_cell_angle_gamma 90.00
_symmetry_space_group_name_H-M 'C 1 2/m 1'
_symmetry_Int_Tables_number 12
loop_
_symmetry_equiv_pos_as_xyz
'x,y,z'
'-x,-y,-z'
'-x,y,-z'
'x,-y,z'
'x+1/2,y+1/2,z'
'-x+1/2,-y+1/2,-z'
'-x+1/2,y+1/2,-z'
'x+1/2,-y+1/2,z'
loop_
_atom_site_label
_atom_site_type_symbol
_atom_site_fract_x
_atom_site_fract_y
_atom_site_fract_z
_atom_site_occupancy
Ba1 Ba 0.000 0.248 0.000 1
Ga1 Ga 0.226 0.500 0.529 1
Ag1 Ag 0.000 0.500 0.500 1
Ag2 Ag 0.143 0.186 0.622 1
Ag3 Ag 0.238 0.500 0.949 1
```

Summary:
Electronic total energy, eV per atom: -2.870
Magnetization, μB/cell: 0.0

---

> magnetization of number 4 (Ba2Ga2Ag7)?

0.0 μB/cell

---

> Among the records above, which one has the lowest electronic total energy?

Ba2Ga2Ag7